No. 1
Crystalline AlCr2Sb at its relaxed geometry, computed with PBE-GGA.

```
AlCr2Sb
1.0
1.546 0.893 8.427
-1.546 0.893 8.427
0.000 -1.785 8.427
Al Cr Sb
1 2 1
Cartesian
0.000 0.000 0.000
0.000 0.000 6.426
0.000 0.000 18.854
0.000 0.000 12.640
```

Properties
E_form (uncorrected) (eV/atom): 0.394
Energy above the lowest structure with this stoichiometry (eV/atom): 0.2502

No. 2
Crystalline BaCa4Co2N4 at its relaxed geometry, computed with PBE-GGA.

```
BaCa4Co2N4
1.0
8.376 0.000 0.000
0.000 8.376 0.000
0.000 0.000 12.120
Ba Ca Co N
4 16 8 16
Cartesian
2.094 2.094 1.933
2.094 2.094 7.994
6.282 6.282 4.127
6.282 6.282 10.187
0.707 5.277 1.157
0.707 7.287 7.217
1.089 4.895 4.903
1.089 7.670 10.963
3.099 4.895 10.963
3.099 7.670 4.903
3.482 5.277 7.217
3.482 7.287 1.157
4.895 1.089 10.963
4.895 3.099 4.903
5.277 0.707 7.217
5.277 3.482 1.157
7.287 0.707 1.157
7.287 3.482 7.217
7.670 1.089 4.903
7.670 3.099 10.963
0.789 4.977 9.090
0.789 7.588 3.030
3.399 4.977 3.030
3.399 7.588 9.090
4.977 0.789 3.030
4.977 3.399 9.090
7.588 0.789 9.090
7.588 3.399 3.030
0.577 5.256 10.849
0.577 7.308 4.789
1.068 4.765 7.332
1.068 7.799 1.271
3.120 4.765 1.271
3.120 7.799 7.332
3.611 5.256 4.789
3.611 7.308 10.849
4.765 1.068 1.271
4.765 3.120 7.332
5.256 0.577 4.789
5.256 3.611 10.849
7.308 0.577 10.849
7.308 3.611 4.789
7.799 1.068 7.332
7.799 3.120 1.271
```

Properties
E_form (uncorrected) (eV/atom): -0.647